Entry 1:
Entry from Alexandria via LeMat-Bulk: TmThNiPt after structural relaxation (GGA-PBE).

abc: 4.2650 3.7526 10.9205
angles: 90.00 90.00 90.00
Last column: nearest neighbours and their distance in Å.
Space group Amm2 (No. 38)
One atom of each set of equivalent atoms:
Tm 0.0000 0.0000 0.0000 x2  4 Pt 2.91, 3 Ni 2.91-3.17
Th 0.5000 0.0000 0.2769 x2  4 Ni 2.88, 3 Pt 3.05-3.06
Ni 0.0000 0.0000 0.7338 x2  4 Th 2.88, 2 Pt 2.88, 3 Tm 2.91-3.17
Pt 0.5000 0.0000 0.5559 x2  2 Ni 2.88, 4 Tm 2.91, 3 Th 3.05-3.06

## Properties
* excess energy over the best structure of this formula in the dataset: 0.000 eV per atom
* magnetic moment: 0.00 μB/f.u.

---

Entry 2:
Entry from Alexandria via LeMat-Bulk: TmThNiPt after structural relaxation (GGA-PBE).

abc: 7.0083 7.0083 7.0083
angles: 90.00 90.00 90.00
Last column: nearest neighbours and their distance in Å.
Space group F-43m (No. 216)
One atom of each set of equivalent atoms:
Tm 0.0000 0.0000 0.0000 x4  4 Ni 3.03, 4 Pt 3.03
Th 0.0000 0.0000 0.5000 x4  4 Ni 3.03, 4 Pt 3.03
Ni 0.2500 0.2500 0.2500 x4  4 Th 3.03, 4 Tm 3.03
Pt 0.2500 0.2500 0.7500 x4  4 Th 3.03, 4 Tm 3.03

## Properties
* excess energy over the best structure of this formula in the dataset: 0.141 eV per atom
* magnetic moment: 0.00 μB/f.u.

---

Entry 3:
Entry from Alexandria via LeMat-Bulk: ThZn2Ni2Pt after structural relaxation (GGA-PBE).

abc: 4.6884 4.6884 5.3710
angles: 90.00 90.00 90.00
Last column: nearest neighbours and their distance in Å.
Space group P4/mmm (No. 123)
One atom of each set of equivalent atoms:
Th 0.0000 0.0000 0.0000 x1  2 Pt 2.69
Zn 0.0000 0.5000 0.5000 x2  2 Pt 2.34
Ni 0.5000 0.5000 0.2339 x2  1 Ni 2.51, 4 Zn 2.75
Pt 0.0000 0.0000 0.5000 x1  4 Zn 2.34

## Properties
* electronic total energy: -27.70 eV per cell
* magnetic moment: 0.00 μB/f.u.

---

Entry 4:
Entry from Alexandria via LeMat-Bulk: Ti2Ni2Pt after structural relaxation (GGA-PBE).

abc: 9.2151 4.6043 7.0493
angles: 90.00 111.86 90.00
Last column: nearest neighbours and their distance in Å.
Space group C2/c (No. 15)
One atom of each set of equivalent atoms:
Ti 0.1733 0.1644 0.1415 x8  6 Ni 2.59-2.78, 3 Pt 2.60-2.89, 2 Ti 2.83
Ni 0.1136 0.3338 0.4569 x8  1 Ni 2.48, 5 Ti 2.59-2.77, 2 Pt 2.61-2.72
Pt 0.0000 0.1928 0.7500 x4  6 Ti 2.60-2.89, 6 Ni 2.61-2.82

## Properties
* excess energy over the best structure of this formula in the dataset: 0.066 eV per atom
* magnetic moment: 0.00 μB/f.u.

---

Entry 5:
Entry from Alexandria via LeMat-Bulk: Ti4Ni3Pt after structural relaxation (GGA-PBE).

abc: 3.1877 4.2455 8.4337
angles: 90.00 90.00 90.00
Last column: nearest neighbours and their distance in Å.
Space group Pmmm (No. 47)
One atom of each set of equivalent atoms:
Ti 0.0000 0.0000 0.0000 x1  8 Ni 2.65, 4 Ti 2.91
Ti 0.0000 0.0000 0.5000 x1  4 Ni 2.64, 4 Pt 2.65
Ti 0.0000 0.5000 0.2364 x2  6 Ni 2.55-2.66, 2 Pt 2.74
Ni 0.5000 0.0000 0.2505 x2  8 Ti 2.64-2.66
Ni 0.5000 0.5000 0.0000 x1  8 Ti 2.55-2.65
Pt 0.5000 0.5000 0.5000 x1  8 Ti 2.65-2.74

## Properties
* electronic total energy: -58.75 eV per cell
* magnetic moment: 0.00 μB/f.u.

---

Entry 6:
Entry from Alexandria via LeMat-Bulk: Ti6Ni5Pt after structural relaxation (GGA-PBE).

abc: 4.2719 6.3909 7.2129
angles: 115.87 105.59 90.96
Last column: nearest neighbours and their distance in Å.
Space group P-1 (No. 2)
One atom of each set of equivalent atoms:
Ti 0.0257 0.2804 0.0411 x2  6 Ni 2.49-2.69, 2 Pt 2.72
Ti 0.3205 0.5685 0.6339 x2  4 Ti 2.65-2.94, 6 Ni 2.69-2.92, 1 Pt 2.77
Ti 0.3570 0.0933 0.6668 x2  7 Ni 2.42-2.61, 1 Pt 2.64
Ni 0.1122 0.6993 0.3179 x2  7 Ti 2.42-2.70, 1 Ni 2.68
Ni 0.1243 0.1171 0.3149 x2  7 Ti 2.50-2.76, 1 Ni 2.68
Ni 0.5000 0.5000 0.0000 x1  8 Ti 2.57-2.77, 2 Ni 2.80
Pt 0.5000 0.0000 0.0000 x1  8 Ti 2.64-2.77, 2 Ni 2.83

## Properties
* electronic total energy: -87.89 eV per cell
* magnetic moment: 1.69 μB/f.u.

---

Entry 7:
Entry from Alexandria via LeMat-Bulk: Ti6NiPt2 after structural relaxation (GGA-PBE).

abc: 13.4421 6.0314 4.2858
angles: 90.00 108.51 90.00
Last column: nearest neighbours and their distance in Å.
Space group C2/m (No. 12)
One atom of each set of equivalent atoms:
Ti 0.0000 0.2402 0.0000 x4  2 Ni 2.59, 2 Pt 2.63
Ti 0.1622 0.2449 0.6622 x8  1 Ni 2.54, 3 Pt 2.64
Ni 0.0000 0.0000 0.5000 x2  8 Ti 2.54-2.59
Pt 0.1660 0.5000 0.1660 x4  8 Ti 2.63-2.64

## Properties
* electronic total energy: -135.30 eV per cell
* magnetic moment: 0.01 μB/f.u.

---

Entry 8:
Entry from Alexandria via LeMat-Bulk: Ti6NiPt5 after structural relaxation (GGA-PBE).

abc: 4.7744 5.6255 7.3707
angles: 112.36 91.43 90.04
Last column: nearest neighbours and their distance in Å.
Space group P-1 (No. 2)
One atom of each set of equivalent atoms:
Ti 0.0001 0.2465 0.9999 x2  6 Pt 2.74-2.78, 2 Ni 2.76, 4 Ti 2.77-2.85
Ti 0.3364 0.0834 0.6708 x2  7 Pt 2.74-2.82, 1 Ni 2.74, 4 Ti 2.79-2.84
Ti 0.3363 0.5874 0.6709 x2  7 Pt 2.73-2.83, 1 Ni 2.74, 4 Ti 2.79-2.84
Ni 0.5000 0.0000 0.0000 x1  8 Ti 2.74-2.76, 4 Pt 2.77-2.81
Pt 0.1661 0.6670 0.3340 x2  8 Ti 2.77-2.79, 4 Pt 2.81-2.84
Pt 0.1709 0.1642 0.3284 x2  8 Ti 2.73-2.83, 1 Ni 2.77, 3 Pt 2.81-2.84
Pt 0.5000 0.5000 0.0000 x1  8 Ti 2.75-2.78, 2 Ni 2.81, 2 Pt 2.81

## Properties
* electronic total energy: -93.14 eV per cell
* magnetic moment: 0.03 μB/f.u.